Entry 1:
{"formula": "La2TbAg4", "functional": "PBE", "state": "relaxed", "cell": [[-2.5602, -3.1624, -3.6937], [2.1447, 3.0121, -4.0653], [5.3423, -3.8493, 3.6806]], "species": ["Tb", "Ag", "Ag", "Ag", "Ag", "La", "La"], "frac_coords": [[0.0000, 0.0000, 0.0000], [0.3874, 0.8874, 0.7748], [0.8874, 0.3874, 0.7748], [0.6126, 0.1126, 0.2252], [0.1126, 0.6126, 0.2252], [0.7163, 0.7163, 0.4326], [0.2837, 0.2837, 0.5674]], "n_ef_per_ev_cell": 7.505, "e_tot_ev_per_cell": -26.678, "ef_ev_per_atom": -0.113, "vol_a3_per_atom": 27.9, "sg": "No. 139"}

=====

Entry 2:
{"formula": "La3Tb2Ag3", "functional": "PBE", "state": "relaxed", "cell": [[-1.0059, -2.7872, -2.3075], [1.6589, -3.6922, 3.7368], [-10.5997, 3.2022, 3.8089]], "species": ["La", "La", "La", "Tb", "Tb", "Ag", "Ag", "Ag"], "frac_coords": [[0.3785, 0.3785, 0.7570], [0.6215, 0.6215, 0.2430], [0.5000, 0.0000, 0.0000], [0.2676, 0.7676, 0.5352], [0.7324, 0.2324, 0.4648], [0.8764, 0.8764, 0.7529], [0.0000, 0.5000, 0.0000], [0.1236, 0.1236, 0.2471]], "n_ef_per_ev_cell": 9.141, "e_tot_ev_per_cell": -34.126, "ef_ev_per_atom": -0.191, "vol_a3_per_atom": 29.0, "sg": "No. 71"}

=====

Entry 3:
{"formula": "La5TbAg4", "functional": "PBE", "state": "relaxed", "cell": [[3.7991, 0.0000, 0.0000], [0.0000, 3.7991, 0.0000], [0.0000, 0.0000, 20.3558]], "species": ["La", "La", "La", "La", "La", "Tb", "Ag", "Ag", "Ag", "Ag"], "frac_coords": [[0.5000, 0.5000, 0.1204], [0.5000, 0.5000, 0.3091], [0.5000, 0.5000, 0.5000], [0.5000, 0.5000, 0.6909], [0.5000, 0.5000, 0.8796], [0.0000, 0.0000, 0.0000], [0.0000, 0.0000, 0.2128], [0.0000, 0.0000, 0.4052], [0.0000, 0.0000, 0.5948], [0.0000, 0.0000, 0.7872]], "n_ef_per_ev_cell": 10.823, "e_tot_ev_per_cell": -42.630, "ef_ev_per_atom": -0.196, "vol_a3_per_atom": 29.4, "sg": "No. 123"}

=====

Entry 4:
{"formula": "LaTb4Ag", "functional": "PBE", "state": "relaxed", "cell": [[5.5192, 0.0000, 0.0000], [0.0000, 6.5186, 0.0000], [-2.7596, 0.0000, 10.4825]], "species": ["La", "La", "Tb", "Tb", "Tb", "Tb", "Tb", "Tb", "Tb", "Tb", "Ag", "Ag"], "frac_coords": [[0.9353, 0.7711, 0.8705], [0.0647, 0.2711, 0.1295], [0.8637, 0.2647, 0.7275], [0.1363, 0.7647, 0.2725], [0.4654, 0.1024, 0.9308], [0.5346, 0.6024, 0.0692], [0.6773, 0.4031, 0.3547], [0.3227, 0.9031, 0.6453], [0.7436, 0.8896, 0.4872], [0.2564, 0.3896, 0.5128], [0.6041, 0.0025, 0.2081], [0.3959, 0.5025, 0.7919]], "n_ef_per_ev_cell": 18.320, "de_polymorph_mev_per_atom": 112.7, "e_tot_ev_per_cell": -52.116, "ef_ev_per_atom": 0.040, "vol_a3_per_atom": 31.4, "sg": "No. 36"}